Entry 1:
A plane-wave DFT calculation with meta-GGA SCAN was carried out for a PBEsol-optimized structure of Li2WO2F4.

a = 4.642 Å, b = 17.230 Å, c = 4.944 Å
α = 90.00°, β = 90.00°, γ = 90.00°
Element x y z (fractional)
Li 0.000 0.047 0.250
Li 0.000 0.267 0.750
Li 0.000 0.733 0.250
Li 0.000 0.953 0.750
Li 0.500 0.233 0.250
Li 0.500 0.453 0.750
Li 0.500 0.547 0.250
Li 0.500 0.767 0.750
W 0.000 0.392 0.250
W 0.000 0.608 0.750
W 0.500 0.108 0.750
W 0.500 0.892 0.250
O 0.247 0.455 0.097
O 0.247 0.545 0.597
O 0.253 0.045 0.597
O 0.253 0.955 0.097
O 0.747 0.045 0.903
O 0.747 0.955 0.403
O 0.753 0.455 0.403
O 0.753 0.545 0.903
F 0.211 0.298 0.087
F 0.211 0.702 0.587
F 0.234 0.372 0.565
F 0.234 0.628 0.065
F 0.266 0.128 0.065
F 0.266 0.872 0.565
F 0.289 0.202 0.587
F 0.289 0.798 0.087
F 0.711 0.202 0.913
F 0.711 0.798 0.413
F 0.734 0.128 0.435
F 0.734 0.872 0.935
F 0.766 0.372 0.935
F 0.766 0.628 0.435
F 0.789 0.298 0.413
F 0.789 0.702 0.913

Results
- N(E_F): 0.0 states/eV/f.u.
- Electronic total energy: -505.265 eV per cell
- ΔE_f (raw): -2803 meV per atom


Entry 2:
A plane-wave DFT calculation with meta-GGA SCAN was carried out for a PBEsol-optimized structure of LiWO2F.

a = 3.632 Å, b = 3.632 Å, c = 3.063 Å
α = 90.00°, β = 90.00°, γ = 90.00°
Element x y z (fractional)
Li 0.000 0.000 0.000
W 0.500 0.500 0.500
O 0.000 0.500 0.000
O 0.500 0.000 0.000
F 0.000 0.000 0.500

Results
- N(E_F): 2.0 states/eV/f.u.
- Electronic total energy: -92.623 eV per cell
- ΔE_f (raw): -908 meV per atom


Entry 3:
A plane-wave DFT calculation with meta-GGA SCAN was carried out for a PBEsol-optimized structure of Li3OsF.

a = 3.898 Å, b = 3.898 Å, c = 3.898 Å
α = 90.00°, β = 90.00°, γ = 90.00°
Element x y z (fractional)
Li 0.000 0.000 0.500
Li 0.000 0.500 0.000
Li 0.500 0.000 0.000
Os 0.500 0.500 0.500
F 0.000 0.000 0.000

Results
- N(E_F): 5.4 states/eV/f.u.
- Electronic total energy: -84.510 eV per cell
- ΔE_f (raw): -384 meV per atom


Entry 4:
A plane-wave DFT calculation with meta-GGA SCAN was carried out for a PBEsol-optimized structure of LiPF6.

a = 5.077 Å, b = 5.077 Å, c = 5.077 Å
α = 57.97°, β = 57.97°, γ = 57.97°
Element x y z (fractional)
Li 0.000 0.000 0.000
P 0.500 0.500 0.500
F 0.188 0.370 0.719
F 0.281 0.812 0.630
F 0.370 0.719 0.188
F 0.630 0.281 0.812
F 0.719 0.188 0.370
F 0.812 0.630 0.281

Results
- N(E_F): 0.0 states/eV/f.u.
- Electronic total energy: -57.306 eV per cell
- ΔE_f (raw): -2910 meV per atom


Entry 5:
A plane-wave DFT calculation with meta-GGA SCAN was carried out for a PBEsol-optimized structure of LiP2F.

a = 13.058 Å, b = 13.058 Å, c = 13.058 Å
α = 166.33°, β = 166.33°, γ = 19.38°
Element x y z (fractional)
Li 0.000 0.000 0.000
Li 0.750 0.250 0.500
P 0.125 0.625 0.000
P 0.375 0.375 0.500
P 0.625 0.125 0.000
P 0.875 0.875 0.500
F 0.250 0.750 0.500
F 0.500 0.500 0.000

Results
- N(E_F): 1.2 states/eV/f.u.
- Electronic total energy: -61.730 eV per cell
- ΔE_f (raw): -1034 meV per atom


Entry 6:
A plane-wave DFT calculation with meta-GGA SCAN was carried out for a PBEsol-optimized structure of RbLiP2F.

a = 4.490 Å, b = 4.490 Å, c = 5.007 Å
α = 90.00°, β = 90.00°, γ = 90.00°
Element x y z (fractional)
Rb 0.000 0.000 0.000
Li 0.500 0.500 0.000
P 0.000 0.500 0.500
P 0.500 0.000 0.500
F 0.000 0.000 0.500

Results
- N(E_F): 2.1 states/eV/f.u.
- Electronic total energy: -47.899 eV per cell
- ΔE_f (raw): -87 meV per atom